(1)
This record from the Alexandria database describes a relaxed BaOs3 crystal. The functional is PBE-GGA.

abc: 5.1035 5.1035 2.9079
angles: 90.00 90.00 90.00
With the nearest neighbours (Å) after each atom.
Sites, in units of the cell vectors:
Ba (0.0000, 0.0000, 0.0000)  2 Ba 2.91, 8 Os 2.94
Os (0.0000, 0.5000, 0.5000)  6 Os 2.91-2.94, 4 Ba 2.94
Os (0.5000, 0.0000, 0.5000)  6 Os 2.91-2.94, 4 Ba 2.94
Os (0.5000, 0.5000, 0.0000)  10 Os 2.91-2.94

Values from the calculation:
M_tot, μB per formula unit: 2.5
ΔE to the lowest computed polymorph, meV per atom: 1263
Energy of formation from the pure elements, eV per atom: 1.70
Space group: P4/mmm

---

(2)
This record from the Alexandria database describes a relaxed BaOs3 crystal. The functional is PBE-GGA.

abc: 8.2814 8.2814 6.2700
angles: 90.00 90.00 120.00
With the nearest neighbours (Å) after each atom.
Sites, in units of the cell vectors:
Ba (0.0000, 0.0000, 0.0000)  2 Ba 3.13
Ba (0.0000, 0.0000, 0.5000)  2 Ba 3.13
Ba (0.3333, 0.6667, 0.2500)  6 Os 2.86
Ba (0.6667, 0.3333, 0.7500)  6 Os 2.86
Os (0.0000, 0.5000, 0.0000)  4 Os 2.62, 2 Ba 2.86
Os (0.0000, 0.5000, 0.5000)  4 Os 2.62, 2 Ba 2.86
Os (0.2265, 0.4530, 0.7500)  6 Os 2.62-2.65
Os (0.2265, 0.7735, 0.7500)  6 Os 2.62-2.65
Os (0.4530, 0.2265, 0.2500)  6 Os 2.62-2.65
Os (0.5000, 0.0000, 0.0000)  4 Os 2.62, 2 Ba 2.86
Os (0.5000, 0.0000, 0.5000)  4 Os 2.62, 2 Ba 2.86
Os (0.5000, 0.5000, 0.0000)  4 Os 2.62, 2 Ba 2.86
Os (0.5000, 0.5000, 0.5000)  4 Os 2.62, 2 Ba 2.86
Os (0.5470, 0.7735, 0.7500)  6 Os 2.62-2.65
Os (0.7735, 0.2265, 0.2500)  6 Os 2.62-2.65
Os (0.7735, 0.5470, 0.2500)  6 Os 2.62-2.65

Values from the calculation:
M_tot, μB per formula unit: 0.0
ΔE to the lowest computed polymorph, meV per atom: 840
Energy of formation from the pure elements, eV per atom: 1.28
Space group: P6_3/mmc

---

(3)
This record from the Alexandria database describes a relaxed Ba3Os2 crystal. The functional is PBE-GGA.

abc: 6.7304 6.7304 6.7304
angles: 48.57 48.57 48.57
With the nearest neighbours (Å) after each atom.
Sites, in units of the cell vectors:
Ba (0.0000, 0.0000, 0.0000)  6 Os 3.66, 8 Ba 3.76-3.93
Ba (0.2214, 0.2214, 0.2214)  3 Os 3.20
Ba (0.7786, 0.7786, 0.7786)  3 Os 3.20
Os (0.4338, 0.4338, 0.4338)  1 Os 2.35
Os (0.5662, 0.5662, 0.5662)  1 Os 2.35

Values from the calculation:
M_tot, μB per formula unit: 0.0
Energy of formation from the pure elements, eV per atom: 0.66
Space group: R-3m

---

(4)
This record from the Alexandria database describes a relaxed BaOs crystal. The functional is PBE-GGA.

abc: 5.4165 5.4165 5.4165
angles: 36.40 36.40 36.40
With the nearest neighbours (Å) after each atom.
Sites, in units of the cell vectors:
Ba (0.0000, 0.0000, 0.0000)  6 Os 3.19, 6 Ba 3.38
Os (0.5000, 0.5000, 0.5000)  6 Ba 3.19, 6 Os 3.38

Values from the calculation:
M_tot, μB per formula unit: 0.5
Energy of formation from the pure elements, eV per atom: 1.63
Space group: R-3m

---

(5)
This record from the Alexandria database describes a relaxed BaOs3 crystal. The functional is PBE-GGA.

abc: 4.8643 4.8643 4.8643
angles: 125.38 125.38 80.90
With the nearest neighbours (Å) after each atom.
Sites, in units of the cell vectors:
Ba (0.0000, 0.0000, 0.0000)  12 Os 2.90-3.16
Os (0.2500, 0.7500, 0.5000)  8 Os 2.90-3.16, 4 Ba 2.90
Os (0.5000, 0.5000, 0.0000)  8 Os 2.90, 4 Ba 3.16
Os (0.7500, 0.2500, 0.5000)  8 Os 2.90-3.16, 4 Ba 2.90

Values from the calculation:
M_tot, μB per formula unit: 0.0
ΔE to the lowest computed polymorph, meV per atom: 1238
Energy of formation from the pure elements, eV per atom: 1.67
Space group: I4/mmm

---

(6)
This record from the Alexandria database describes a relaxed BaOs crystal. The functional is PBE-GGA.

abc: 8.7443 8.7443 8.7443
angles: 90.00 90.00 90.00
With the nearest neighbours (Å) after each atom.
Sites, in units of the cell vectors:
Ba (0.0000, 0.2500, 0.5000)  4 Os 3.09
Ba (0.0000, 0.7500, 0.5000)  4 Os 3.09
Ba (0.2500, 0.5000, 0.0000)  4 Os 3.09
Ba (0.5000, 0.0000, 0.2500)  4 Os 3.09
Ba (0.5000, 0.0000, 0.7500)  4 Os 3.09
Ba (0.7500, 0.5000, 0.0000)  4 Os 3.09
Os (0.0000, 0.5000, 0.2500)  4 Ba 3.09
Os (0.0000, 0.5000, 0.7500)  4 Ba 3.09
Os (0.2500, 0.0000, 0.5000)  4 Ba 3.09
Os (0.5000, 0.2500, 0.0000)  4 Ba 3.09
Os (0.5000, 0.7500, 0.0000)  4 Ba 3.09
Os (0.7500, 0.0000, 0.5000)  4 Ba 3.09

Values from the calculation:
M_tot, μB per formula unit: 2.0
Energy of formation from the pure elements, eV per atom: 2.31
Space group: Pm-3n

---

(7)
This record from the Alexandria database describes a relaxed Ba5Os3 crystal. The functional is PBE-GGA.

abc: 6.6465 8.7571 9.7758
angles: 88.70 81.30 80.08
With the nearest neighbours (Å) after each atom.
Sites, in units of the cell vectors:
Ba (0.0042, 0.2430, 0.1675)  4 Os 3.21-3.51
Ba (0.1217, 0.3106, 0.7500)  3 Os 3.10-3.35
Ba (0.2732, 0.9496, 0.4489)  2 Os 3.06-3.17
Ba (0.3922, 0.8341, 0.0552)  4 Os 3.16-3.30, 1 Ba 3.53
Ba (0.4350, 0.4017, 0.3167)  5 Os 3.26-3.46
Ba (0.5650, 0.5983, 0.6833)  5 Os 3.26-3.46
Ba (0.6078, 0.1659, 0.9448)  4 Os 3.16-3.30, 1 Ba 3.53
Ba (0.7268, 0.0504, 0.5511)  2 Os 3.06-3.17
Ba (0.8783, 0.6894, 0.2500)  3 Os 3.10-3.35
Ba (0.9958, 0.7570, 0.8325)  4 Os 3.21-3.51
Os (0.0674, 0.6080, 0.5288)  1 Os 2.34
Os (0.3234, 0.4928, 0.0005)  1 Os 2.37
Os (0.3618, 0.9744, 0.7565)  7 Ba 3.06-3.39
Os (0.6382, 0.0256, 0.2435)  7 Ba 3.06-3.39
Os (0.6766, 0.5072, 0.9995)  1 Os 2.37
Os (0.9326, 0.3920, 0.4712)  1 Os 2.34

Values from the calculation:
M_tot, μB per formula unit: 1.6
ΔE to the lowest computed polymorph, meV per atom: 0
Energy of formation from the pure elements, eV per atom: 0.69
Space group: P-1

---

(8)
This record from the Alexandria database describes a relaxed BaOs crystal. The functional is PBE-GGA.

abc: 4.2522 4.7389 7.8758
angles: 90.00 90.00 90.00
With the nearest neighbours (Å) after each atom.
Sites, in units of the cell vectors:
Ba (0.2500, 0.0000, 0.2278)  6 Os 3.31-3.43
Ba (0.7500, 0.0000, 0.7722)  6 Os 3.31-3.43
Os (0.2500, 0.5000, 0.9336)  2 Os 2.37
Os (0.7500, 0.5000, 0.0664)  2 Os 2.37

Values from the calculation:
M_tot, μB per formula unit: 0.0
Energy of formation from the pure elements, eV per atom: 0.55
Space group: Pmma

---

(9)
This record from the Alexandria database describes a relaxed Ba5Os3 crystal. The functional is PBE-GGA.

abc: 9.3129 9.3129 6.9105
angles: 90.00 90.00 120.00
With the nearest neighbours (Å) after each atom.
Sites, in units of the cell vectors:
Ba (0.0000, 0.2700, 0.2500)  3 Os 3.12-3.26
Ba (0.0000, 0.7300, 0.7500)  3 Os 3.12-3.26
Ba (0.2700, 0.0000, 0.2500)  3 Os 3.12-3.26
Ba (0.2700, 0.2700, 0.7500)  3 Os 3.12-3.26
Ba (0.3333, 0.6667, 0.0000)  6 Os 3.34, 2 Ba 3.46
Ba (0.3333, 0.6667, 0.5000)  6 Os 3.34, 2 Ba 3.46
Ba (0.6667, 0.3333, 0.0000)  6 Os 3.34, 2 Ba 3.46
Ba (0.6667, 0.3333, 0.5000)  6 Os 3.34, 2 Ba 3.46
Ba (0.7300, 0.0000, 0.7500)  3 Os 3.12-3.26
Ba (0.7300, 0.7300, 0.2500)  3 Os 3.12-3.26
Os (0.0000, 0.3953, 0.7500)  7 Ba 3.12-3.34
Os (0.0000, 0.6047, 0.2500)  7 Ba 3.12-3.34
Os (0.3953, 0.0000, 0.7500)  7 Ba 3.12-3.34
Os (0.3953, 0.3953, 0.2500)  7 Ba 3.12-3.34
Os (0.6047, 0.0000, 0.2500)  7 Ba 3.12-3.34
Os (0.6047, 0.6047, 0.7500)  7 Ba 3.12-3.34

Values from the calculation:
M_tot, μB per formula unit: 2.1
ΔE to the lowest computed polymorph, meV per atom: 205
Energy of formation from the pure elements, eV per atom: 0.90
Space group: P6_3/mcm

---

(10)
This record from the Alexandria database describes a relaxed BaPOs crystal. The functional is PBE-GGA.

abc: 6.5224 6.5224 6.5224
angles: 151.55 151.55 40.67
With the nearest neighbours (Å) after each atom.
Sites, in units of the cell vectors:
Ba (0.0000, 0.0000, 0.0000)  4 Ba 3.21, 5 P 3.43-3.54, 5 Os 3.45-3.52
P (0.2894, 0.2894, 0.0000)  4 Os 2.45
Os (0.7123, 0.7123, 0.0000)  4 P 2.45

Values from the calculation:
M_tot, μB per formula unit: 0.0
Energy of formation from the pure elements, eV per atom: -0.01
Space group: I4mm

---

(11)
This record from the Alexandria database describes a relaxed BaPOs2 crystal. The functional is PBE-GGA.

abc: 4.0579 4.0579 4.8448
angles: 90.00 90.00 90.00
With the nearest neighbours (Å) after each atom.
Sites, in units of the cell vectors:
Ba (0.0000, 0.0000, 0.0000)  4 P 2.87, 8 Os 3.16
P (0.5000, 0.5000, 0.0000)  4 Ba 2.87, 8 Os 3.16
Os (0.0000, 0.5000, 0.5000)  4 Os 2.87, 4 Ba 3.16, 4 P 3.16
Os (0.5000, 0.0000, 0.5000)  4 Os 2.87, 4 Ba 3.16, 4 P 3.16

Values from the calculation:
M_tot, μB per formula unit: 0.0
Energy of formation from the pure elements, eV per atom: 1.37
Space group: P4/mmm

---

(12)
This record from the Alexandria database describes a relaxed BaP2Os crystal. The functional is PBE-GGA.

abc: 7.3021 7.3021 7.3021
angles: 130.14 130.14 73.18
With the nearest neighbours (Å) after each atom.
Sites, in units of the cell vectors:
Ba (0.0000, 0.0000, 0.0000)  4 P 3.17
Ba (0.7500, 0.2500, 0.5000)  4 P 3.17
P (0.2577, 0.6250, 0.1327)  2 Os 2.24
P (0.3750, 0.5077, 0.6327)  2 Os 2.24
P (0.4923, 0.1250, 0.8673)  2 Os 2.24
P (0.8750, 0.7423, 0.3673)  2 Os 2.24
Os (0.2500, 0.7500, 0.5000)  4 P 2.24
Os (0.5000, 0.5000, 0.0000)  4 P 2.24

Values from the calculation:
M_tot, μB per formula unit: 0.0
ΔE to the lowest computed polymorph, meV per atom: 144
Energy of formation from the pure elements, eV per atom: -0.41
Space group: I-42d

---

(13)
This record from the Alexandria database describes a relaxed BaP2Os crystal. The functional is PBE-GGA.

abc: 5.2775 5.2775 5.2775
angles: 131.21 131.21 71.48
With the nearest neighbours (Å) after each atom.
Sites, in units of the cell vectors:
Ba (0.0000, 0.0000, 0.0000)  4 Os 3.06, 8 P 3.06-3.08
P (0.5000, 0.5000, 0.0000)  4 Os 3.06, 4 P 3.06, 4 Ba 3.08
P (0.7500, 0.2500, 0.5000)  4 Ba 3.06, 4 P 3.06, 4 Os 3.08
Os (0.2500, 0.7500, 0.5000)  4 Ba 3.06, 8 P 3.06-3.08

Values from the calculation:
M_tot, μB per formula unit: 0.0
ΔE to the lowest computed polymorph, meV per atom: 1523
Energy of formation from the pure elements, eV per atom: 0.97
Space group: I-4m2

---

(14)
This record from the Alexandria database describes a relaxed BaPOs2 crystal. The functional is PBE-GGA.

abc: 3.0781 3.6051 7.4713
angles: 90.00 99.79 90.00
With the nearest neighbours (Å) after each atom.
Sites, in units of the cell vectors:
Ba (0.0000, 0.0000, 0.0000)  2 Ba 3.08, 4 Os 3.43
P (0.0000, 0.0000, 0.5000)  4 Os 2.28
Os (0.3273, 0.5000, 0.6548)  2 P 2.28
Os (0.6727, 0.5000, 0.3452)  2 P 2.28

Values from the calculation:
M_tot, μB per formula unit: 0.0
Energy of formation from the pure elements, eV per atom: 0.56
Space group: P2/m